(1)
ErAlW | PBE-GGA | optimized geometry

abc: 5.377 9.715 19.916
angles: 90.00 90.00 90.00
Space group Fddd (No. 70, origin choice 2)
Symmetry-distinct sites (fractional):
Er (0.125, 0.284, 0.125) [16 per cell]
Al (0.125, 0.125, 0.526) [16 per cell]
W (0.125, 0.125, 0.251) [16 per cell]


(2)
ErAl4W | PBE-GGA | optimized geometry

abc: 7.419 7.419 7.419
angles: 90.00 90.00 90.00
Space group F-43m (No. 216)
Symmetry-distinct sites (fractional):
Er (0.000, 0.000, 0.000) [4 per cell]
Al (0.125, 0.125, 0.375) [16 per cell]
W (0.250, 0.250, 0.750) [4 per cell]


(3)
ErAl2W | PBE-GGA | optimized geometry

abc: 2.9905 2.9905 29.1861
angles: 90.00 90.00 120.00
Space group R-3m (No. 166, hexagonal axes)
Symmetry-distinct sites (fractional):
Er (0.0000, 0.0000, 0.0000) [3 per cell]
Al (0.0000, 0.0000, 0.2407) [6 per cell]
W (0.0000, 0.0000, 0.5000) [3 per cell]


(4)
YEr2Al | PBE-GGA | optimized geometry

The value obtained for the excess energy over the best structure of this formula in the dataset is 0.03 eV per formula unit.

abc: 4.728 4.728 4.757
angles: 90.00 90.00 90.00
Space group P4/mmm (No. 123)
Symmetry-distinct sites (fractional):
Y (0.000, 0.000, 0.000) [1 per cell]
Er (0.000, 0.500, 0.500) [2 per cell]
Al (0.500, 0.500, 0.000) [1 per cell]


(5)
YErAl4 | PBE-GGA | optimized geometry

abc: 7.851 7.851 7.851
angles: 90.00 90.00 90.00
Space group F-43m (No. 216)
Symmetry-distinct sites (fractional):
Y (0.000, 0.000, 0.000) [4 per cell]
Er (0.250, 0.250, 0.250) [4 per cell]
Al (0.125, 0.125, 0.625) [16 per cell]


(6)
YEr2Al3 | PBE-GGA | optimized geometry

abc: 3.571 3.571 10.788
angles: 90.00 90.00 90.00
Space group P4/mmm (No. 123)
Symmetry-distinct sites (fractional):
Y (0.000, 0.000, 0.000) [1 per cell]
Er (0.000, 0.000, 0.335) [2 per cell]
Al (0.500, 0.500, 0.170) [2 per cell]
Al (0.500, 0.500, 0.500) [1 per cell]


(7)
Y2ErAl9 | PBE-GGA | optimized geometry

The value obtained for the excess energy over the best structure of this formula in the dataset is 0.00 eV per formula unit.

abc: 4.252 4.252 12.761
angles: 90.00 90.00 90.00
Space group P4/mmm (No. 123)
Symmetry-distinct sites (fractional):
Y (0.000, 0.000, 0.167) [2 per cell]
Er (0.000, 0.000, 0.500) [1 per cell]
Al (0.000, 0.500, 0.000) [2 per cell]
Al (0.000, 0.500, 0.335) [4 per cell]
Al (0.500, 0.500, 0.167) [2 per cell]
Al (0.500, 0.500, 0.500) [1 per cell]


(8)
Y2ErAl | PBE-GGA | optimized geometry

The value obtained for the excess energy over the best structure of this formula in the dataset is 0.06 eV per formula unit.

abc: 4.770 4.770 4.739
angles: 90.00 90.00 90.00
Space group P4/mmm (No. 123)
Symmetry-distinct sites (fractional):
Y (0.000, 0.500, 0.000) [2 per cell]
Er (0.000, 0.000, 0.500) [1 per cell]
Al (0.500, 0.500, 0.500) [1 per cell]


(9)
Y2Er8Al | PBE-GGA | optimized geometry

abc: 19.003 5.424 6.362
angles: 90.00 93.85 90.00
Space group C2/m (No. 12)
Symmetry-distinct sites (fractional):
Y (0.241, 0.000, 0.330) [4 per cell]
Er (0.043, 0.000, 0.254) [4 per cell]
Er (0.078, 0.500, 0.601) [4 per cell]
Er (0.154, 0.000, 0.810) [4 per cell]
Er (0.157, 0.500, 0.121) [4 per cell]
Al (0.000, 0.500, 0.000) [2 per cell]


(10)
YEr12Al3 | PBE-GGA | optimized geometry

abc: 4.756 4.756 19.361
angles: 90.00 90.00 90.00
Space group P4/mmm (No. 123)
Symmetry-distinct sites (fractional):
Y (0.000, 0.000, 0.000) [1 per cell]
Er (0.000, 0.500, 0.135) [4 per cell]
Er (0.000, 0.500, 0.379) [4 per cell]
Er (0.500, 0.500, 0.000) [1 per cell]
Er (0.500, 0.500, 0.258) [2 per cell]
Er (0.500, 0.500, 0.500) [1 per cell]
Al (0.000, 0.000, 0.258) [2 per cell]
Al (0.000, 0.000, 0.500) [1 per cell]


(11)
YEr2Al2 | PBE-GGA | optimized geometry

The value obtained for the excess energy over the best structure of this formula in the dataset is 0.00 eV per formula unit.

abc: 3.615 5.120 13.429
angles: 90.00 97.74 90.00
Space group P2_1/m (No. 11)
Symmetry-distinct sites (fractional):
Y (0.145, 0.250, 0.291) [2 per cell]
Er (0.047, 0.750, 0.094) [2 per cell]
Er (0.233, 0.750, 0.467) [2 per cell]
Al (0.360, 0.250, 0.718) [2 per cell]
Al (0.451, 0.750, 0.902) [2 per cell]


(12)
YEr8Al2 | PBE-GGA | optimized geometry

The value obtained for the excess energy over the best structure of this formula in the dataset is 0.00 eV per formula unit.

abc: 16.224 5.147 8.144
angles: 90.00 114.20 90.00
Space group C2/m (No. 12)
Symmetry-distinct sites (fractional):
Y (0.000, 0.000, 0.000) [2 per cell]
Er (0.057, 0.500, 0.734) [4 per cell]
Er (0.110, 0.000, 0.473) [4 per cell]
Er (0.154, 0.500, 0.223) [4 per cell]
Er (0.189, 0.000, 0.952) [4 per cell]
Al (0.225, 0.500, 0.642) [4 per cell]


DOS(E_F), record by record: 36.21; 10.66; 8.08; 4.98; 17.65; 2.26; 4.80; 5.30; 28.44; 16.44; 6.49; 25.63 states/eV/cell
Calculated formation energy, record by record: 272; -147; 138; -192; -526; -403; -421; -189; -43; -129; -326; -110 meV/atom